This record from the Alexandria database describes TbDy2Ho3Te6 after structural relaxation. The functional is PBE-GGA.

Cell: 4.3273 8.7345 9.7131 Å, 102.97 102.87 90.00°
Closest atoms and distances in Å follow each position.
Positions (direct):
Tb 0.5000 0.0000 0.0000  6 Te 3.09
Dy 0.8339 0.6682 0.6678  6 Te 3.07-3.08
Dy 0.1661 0.3318 0.3322  6 Te 3.07-3.08
Ho 0.5000 0.5000 0.0000  6 Te 3.06-3.07
Ho 0.8341 0.1674 0.6683  6 Te 3.05-3.07
Ho 0.1659 0.8326 0.3317  6 Te 3.05-3.07
Te 0.3322 0.9179 0.6644  3 Ho 3.06-3.07, 2 Dy 3.08, 1 Tb 3.09
Te 0.6666 0.5836 0.3332  3 Ho 3.07, 3 Dy 3.08
Te 0.6678 0.0821 0.3356  3 Ho 3.06-3.07, 2 Dy 3.08, 1 Tb 3.09
Te 0.9998 0.2521 0.9996  3 Ho 3.05-3.06, 1 Dy 3.07, 2 Tb 3.09
Te 0.0002 0.7479 0.0004  3 Ho 3.05-3.06, 1 Dy 3.07, 2 Tb 3.09
Te 0.3334 0.4164 0.6668  3 Ho 3.07, 3 Dy 3.08

**Volume**: 29.02 Å³/atom
**Total magnetic moment**: 0.000 μB per atom
**Calculated density**: 8.316 g/cm3
**Uncorrected energy**: -5.135 eV per atom
**Space-group type**: C2/m (12)